No. 1
First-principles (PBE) data for a relaxed structure of Ac2La5Er12, as listed in Alexandria via LeMat-Bulk.

Final energy (eV/atom): -4.51
ΔH_f (0 K) (eV/atom): 0.103
Calculated density (g/cm3): 8.03
Volume (A^3/atom): 34.35
Fermi-level density of states (states/eV/atom): 1.38

```
data_Ac2La5Er12
_chemical_formula_sum 'Ac2 La5 Er12'
_symmetry_space_group_name_H-M 'P -1'
_symmetry_Int_Tables_number 2
_symmetry_space_group_name_Hall '-P 1'
_cell_length_a 6.610
_cell_length_b 8.645
_cell_length_c 12.333
_cell_angle_alpha 93.48
_cell_angle_beta 104.44
_cell_angle_gamma 105.20
loop_
_atom_site_label
_atom_site_fract_x
_atom_site_fract_y
_atom_site_fract_z
Ac1 0.215 0.163 0.434
La1 0.179 0.636 0.446
La2 0.284 0.868 0.012
La3 0.500 0.500 0.000
Er1 0.093 0.556 0.142
Er2 0.126 0.134 0.817
Er3 0.199 0.729 0.745
Er4 0.242 0.206 0.144
Er5 0.424 0.448 0.685
Er6 0.472 0.928 0.305
```

No. 2
First-principles (PBE) data for a relaxed structure of Al2HgIr2, as listed in Alexandria via LeMat-Bulk.

Final energy (eV/atom): -5.61
ΔH_f (0 K) (eV/atom): -0.509
E above lowest polymorph (eV/atom): 0.000
Calculated density (g/cm3): 13.31
Volume (A^3/atom): 15.94
Fermi-level density of states (states/eV/atom): 0.31

```
data_Al2HgIr2
_chemical_formula_sum 'Al4 Hg2 Ir4'
_symmetry_space_group_name_H-M 'P 4/m b m'
_symmetry_Int_Tables_number 127
_symmetry_space_group_name_Hall '-P 4 2ab'
_cell_length_a 7.370
_cell_length_b 7.370
_cell_length_c 2.935
_cell_angle_alpha 90.00
_cell_angle_beta 90.00
_cell_angle_gamma 90.00
loop_
_atom_site_label
_atom_site_fract_x
_atom_site_fract_y
_atom_site_fract_z
Al1 0.144 0.356 0.000
Hg1 0.000 0.000 0.500
Ir1 0.149 0.649 0.500
```

No. 3
First-principles (PBE) data for a relaxed structure of KLiGa2Br8, as listed in Alexandria via LeMat-Bulk.

Final energy (eV/atom): -2.98
Calculated density (g/cm3): 3.48
Volume (A^3/atom): 32.84
Fermi-level density of states (states/eV/atom): 0.00

```
data_KLiGa2Br8
_chemical_formula_sum 'K3 Li3 Ga6 Br24'
_symmetry_space_group_name_H-M 'R -3'
_symmetry_Int_Tables_number 148
_symmetry_space_group_name_Hall '-R 3'
_cell_length_a 6.7897
_cell_length_b 6.7897
_cell_length_c 29.6128
_cell_angle_alpha 90.00
_cell_angle_beta 90.00
_cell_angle_gamma 120.00
loop_
_atom_site_label
_atom_site_fract_x
_atom_site_fract_y
_atom_site_fract_z
K1 0.0000 0.0000 0.0000
Li1 0.0000 0.0000 0.5000
Ga1 0.0000 0.0000 0.2473
Br1 0.0000 0.0000 0.3271
Br2 0.0011 0.3320 0.8903
```

No. 4
First-principles (PBE) data for a relaxed structure of NdY4S5, as listed in Alexandria via LeMat-Bulk.

Final energy (eV/atom): -7.12
Calculated density (g/cm3): 5.03
Volume (A^3/atom): 21.79
Fermi-level density of states (states/eV/atom): 0.47

```
data_NdY4S5
_chemical_formula_sum 'Nd2 Y8 S10'
_symmetry_space_group_name_H-M 'I m m m'
_symmetry_Int_Tables_number 71
_symmetry_space_group_name_Hall '-I 2 2'
_cell_length_a 3.944
_cell_length_b 5.586
_cell_length_c 19.787
_cell_angle_alpha 90.00
_cell_angle_beta 90.00
_cell_angle_gamma 90.00
loop_
_atom_site_label
_atom_site_fract_x
_atom_site_fract_y
_atom_site_fract_z
Nd1 0.000 0.000 0.000
Y1 0.000 0.000 0.202
Y2 0.000 0.000 0.401
S1 0.000 0.500 0.000
S2 0.000 0.500 0.199
S3 0.000 0.500 0.395
```

No. 5
First-principles (PBE) data for a relaxed structure of Nd2Sm3Ho7, as listed in Alexandria via LeMat-Bulk.

Final energy (eV/atom): -4.56
ΔH_f (0 K) (eV/atom): 0.084
E above lowest polymorph (eV/atom): 0.000
Calculated density (g/cm3): 8.03
Volume (A^3/atom): 32.63
Fermi-level density of states (states/eV/atom): 1.46

```
data_Nd2Sm3Ho7
_chemical_formula_sum 'Nd2 Sm3 Ho7'
_symmetry_space_group_name_H-M 'P 1 2/m 1'
_symmetry_Int_Tables_number 10
_symmetry_space_group_name_Hall '-P 2y'
_cell_length_a 6.354
_cell_length_b 3.532
_cell_length_c 17.548
_cell_angle_alpha 90.00
_cell_angle_beta 96.21
_cell_angle_gamma 90.00
loop_
_atom_site_label
_atom_site_fract_x
_atom_site_fract_y
_atom_site_fract_z
Nd1 0.056 0.000 0.174
Sm1 0.454 0.500 0.841
Sm2 0.500 0.000 0.500
Ho1 0.000 0.500 0.500
Ho2 0.226 0.000 0.665
Ho3 0.255 0.000 0.000
Ho4 0.273 0.500 0.337
```

No. 6
First-principles (PBE) data for a relaxed structure of Ti4V2P, as listed in Alexandria via LeMat-Bulk.

Final energy (eV/atom): -7.52
ΔH_f (0 K) (eV/atom): 0.369
Calculated density (g/cm3): 4.30
Volume (A^3/atom): 17.90
Fermi-level density of states (states/eV/atom): 0.81

```
data_Ti4V2P
_chemical_formula_sum 'Ti8 V4 P2'
_symmetry_space_group_name_H-M 'I 4/m m m'
_symmetry_Int_Tables_number 139
_symmetry_space_group_name_Hall '-I 4 2'
_cell_length_a 4.568
_cell_length_b 4.568
_cell_length_c 12.005
_cell_angle_alpha 90.00
_cell_angle_beta 90.00
_cell_angle_gamma 90.00
loop_
_atom_site_label
_atom_site_fract_x
_atom_site_fract_y
_atom_site_fract_z
Ti1 0.000 0.000 0.197
Ti2 0.000 0.500 0.000
V1 0.000 0.000 0.394
P1 0.000 0.000 0.000
```